A geometry-optimized SrErI2 structure, computed with GGA-PBE.

POSCAR file:
```
SrErI2
1.0
-1.577 -1.150 -3.547
2.384 -1.607 -2.850
-1.656 -11.201 2.056
I Sr Er
2 1 1
Direct
0.106 0.106 0.681
0.894 0.894 0.319
0.000 0.000 0.000
0.500 0.500 0.500
```

The volume comes out at 39.99 Å³ per atom. As for the raw total energy: -12.412 eV per formula unit. The calculation puts the formation energy from raw total energies at -296 kJ/mol of formula units. The calculation puts the size of the total moment at 0.00 μB per cell. The density of states at the Fermi level is 1.059 states/eV/atom. The space-group type is No. 166.



A geometry-optimized V3WI structure, computed with GGA-PBE.

POSCAR file:
```
V3WI
1.0
4.726 0.000 0.000
0.000 4.726 0.000
0.000 0.000 4.726
I W V
1 1 3
Direct
0.500 0.500 0.500
0.000 0.000 0.000
0.000 0.500 0.000
0.000 0.000 0.500
0.500 0.000 0.000
```

The volume comes out at 21.11 Å³ per atom. As for the raw total energy: -34.495 eV per formula unit. The calculation puts the formation energy from raw total energies at 711 kJ/mol of formula units. The calculation puts the size of the total moment at 1.36 μB per cell. The density of states at the Fermi level is 1.527 states/eV/atom. The space-group type is No. 221.



A geometry-optimized Zr6Co2Rh structure, computed with GGA-PBE.

POSCAR file:
```
Zr6Co2Rh
1.0
7.097 0.457 -2.843
-4.021 6.271 -1.779
0.119 -0.457 7.644
Zr Co Rh
12 4 2
Direct
0.529 0.817 0.712
0.471 0.183 0.288
0.105 0.817 0.288
0.895 0.183 0.712
0.807 0.047 0.240
0.193 0.953 0.760
0.193 0.433 0.240
0.807 0.567 0.760
0.700 0.327 0.027
0.300 0.673 0.973
0.300 0.327 0.627
0.700 0.673 0.373
0.500 0.132 0.632
0.500 0.868 0.368
0.653 0.653 0.000
0.347 0.347 0.000
0.000 0.500 0.500
0.000 0.000 0.000
```

The volume comes out at 19.18 Å³ per atom. As for the raw total energy: -75.872 eV per formula unit. The calculation puts the size of the total moment at 0.00 μB per cell. The density of states at the Fermi level is 1.082 states/eV/atom. The space-group type is No. 71.